Record 1
This record from Alexandria via LeMat-Bulk describes crystalline BaCd2Rh2Pb at its relaxed geometry. The functional is GGA-PBE.

a = 5.0878 Å, b = 5.0878 Å, c = 6.5372 Å
α = 90.00°, β = 90.00°, γ = 90.00°
With the nearest neighbours (Å) after each atom.
Positions (direct):
1 Ba 0.0000 0.0000 0.5000  2 Pb 3.27
2 Cd 0.5000 0.5000 0.7725  4 Rh 2.95, 1 Cd 2.97
3 Cd 0.5000 0.5000 0.2275  4 Rh 2.95, 1 Cd 2.97
4 Rh 0.5000 0.0000 0.0000  2 Pb 2.54
5 Rh 0.0000 0.5000 0.0000  2 Pb 2.54
6 Pb 0.0000 0.0000 0.0000  4 Rh 2.54

Uncorrected energy   -3.66 eV/atom
DOS(E_F)   1.10 states/eV per atom
Space-group type   P4/mmm
E_form   0.035 eV/atom



Record 2
This record from Alexandria via LeMat-Bulk describes crystalline Ba2CdRh4Pb3 at its relaxed geometry. The functional is GGA-PBE.

a = 4.6969 Å, b = 4.6969 Å, c = 11.3075 Å
α = 90.00°, β = 90.00°, γ = 90.00°
With the nearest neighbours (Å) after each atom.
Positions (direct):
1 Ba 0.5000 0.0000 0.2474  8 Rh 3.59-3.65, 6 Pb 3.60-3.70, 2 Cd 3.70
2 Ba 0.0000 0.5000 0.7526  8 Rh 3.59-3.65, 6 Pb 3.60-3.70, 2 Cd 3.70
3 Cd 0.5000 0.5000 0.5000  4 Rh 2.78
4 Rh 0.5000 0.5000 0.0000  4 Pb 2.74
5 Rh 0.0000 0.0000 0.0000  4 Pb 2.74
6 Rh 0.5000 0.0000 0.6317  3 Pb 2.75-2.78, 2 Cd 2.78
7 Rh 0.0000 0.5000 0.3683  3 Pb 2.75-2.78, 2 Cd 2.78
8 Pb 0.0000 0.0000 0.5000  4 Rh 2.78
9 Pb 0.5000 0.0000 0.8749  5 Rh 2.74-2.75
10 Pb 0.0000 0.5000 0.1251  5 Rh 2.74-2.75

Uncorrected energy   -4.83 eV/atom
DOS(E_F)   0.61 states/eV per atom
Space-group type   P-4m2
E_form   -0.296 eV/atom



Record 3
This record from Alexandria via LeMat-Bulk describes crystalline Ba2CdRhPb6 at its relaxed geometry. The functional is GGA-PBE.

a = 7.5153 Å, b = 7.5153 Å, c = 14.2642 Å
α = 74.73°, β = 74.73°, γ = 60.00°
With the nearest neighbours (Å) after each atom.
Positions (direct):
1 Ba 0.8895 0.8895 0.3315  12 Pb 3.90-4.02
2 Ba 0.1105 0.1105 0.6685  12 Pb 3.90-4.02
3 Ba 0.7156 0.7156 0.8532  12 Pb 3.81-3.98
4 Ba 0.2844 0.2844 0.1468  12 Pb 3.81-3.98
5 Cd 0.5729 0.5729 0.2812  1 Rh 2.97, 6 Pb 3.01-3.10
6 Cd 0.4271 0.4271 0.7188  1 Rh 2.97, 6 Pb 3.01-3.10
7 Rh 0.0000 0.0000 0.0000  6 Pb 2.78
8 Rh 0.5000 0.5000 0.5000  6 Pb 2.79, 2 Cd 2.97
9 Pb 0.9132 0.3405 0.4059  1 Rh 2.79, 1 Cd 3.01
10 Pb 0.3405 0.9132 0.4059  1 Rh 2.79, 1 Cd 3.01
11 Pb 0.3405 0.3405 0.4059  1 Rh 2.79, 1 Cd 3.01
12 Pb 0.0868 0.6595 0.5941  1 Rh 2.79, 1 Cd 3.01
13 Pb 0.6595 0.0868 0.5941  1 Rh 2.79, 1 Cd 3.01
14 Pb 0.6595 0.6595 0.5941  1 Rh 2.79, 1 Cd 3.01
15 Pb 0.6670 0.2185 0.8960  1 Rh 2.78, 1 Cd 3.10
16 Pb 0.2185 0.6670 0.8960  1 Rh 2.78, 1 Cd 3.10
17 Pb 0.2185 0.2185 0.8960  1 Rh 2.78, 1 Cd 3.10
18 Pb 0.3330 0.7815 0.1040  1 Rh 2.78, 1 Cd 3.10
19 Pb 0.7815 0.3330 0.1040  1 Rh 2.78, 1 Cd 3.10
20 Pb 0.7815 0.7815 0.1040  1 Rh 2.78, 1 Cd 3.10

Uncorrected energy   -3.64 eV/atom
DOS(E_F)   0.66 states/eV per atom
Space-group type   R-3m
E_form   -0.207 eV/atom